The following is a GGA-PBE calculation of a relaxed structure of Sc2CoGe, from OQMD via LeMat-Bulk.

Results
- raw total energy (eV/atom) = -6.344

Cell and atoms, written as POSCAR:
```
Sc2CoGe
1.0
6.3515 0.0000 0.0000
0.0000 6.3515 0.0000
0.0000 0.0000 6.3515
Sc Co Ge
8 4 4
direct
0.0000 0.0000 0.0000 Sc
0.0000 0.5000 0.5000 Sc
0.2500 0.2500 0.2500 Sc
0.2500 0.7500 0.7500 Sc
0.5000 0.0000 0.5000 Sc
0.5000 0.5000 0.0000 Sc
0.7500 0.2500 0.7500 Sc
0.7500 0.7500 0.2500 Sc
0.0000 0.0000 0.5000 Co
0.0000 0.5000 0.0000 Co
0.5000 0.0000 0.0000 Co
0.5000 0.5000 0.5000 Co
0.2500 0.2500 0.7500 Ge
0.2500 0.7500 0.2500 Ge
0.7500 0.2500 0.2500 Ge
0.7500 0.7500 0.7500 Ge
```